Record 1
A plane-wave DFT calculation with PBE-GGA was carried out for a relaxed structure of Ca2CeAgSe4.

Calculated values
Uncorrected energy = -39.05 eV/cell
DOS at the Fermi energy = 0.73 states/eV per atom
Formation energy without anion corrections = -1.540 eV per atom

abc: 7.1776 4.2465 7.3291
angles: 90.00 109.65 90.00
Closest atoms and distances in Å follow each position.
Space group P2/m (No. 10)
Symmetry-distinct sites (fractional):
Ca 0.0000 0.0000 0.0000 [1 per cell]  6 Se 2.94-2.99
Ca 0.5000 0.5000 0.0000 [1 per cell]  6 Se 2.97-2.98
Ce 0.0000 0.5000 0.5000 [1 per cell]  6 Se 2.95-2.98
Ag 0.5000 0.0000 0.5000 [1 per cell]  6 Se 2.97-2.99
Se 0.2483 0.0000 0.7529 [2 per cell]  3 Ca 2.94-2.97, 2 Ce 2.98, 1 Ag 2.99
Se 0.2501 0.5000 0.2527 [2 per cell]  1 Ce 2.95, 2 Ag 2.97, 3 Ca 2.98-2.99

Record 2
A plane-wave DFT calculation with PBE-GGA was carried out for a relaxed structure of CaCeAg2Se4.

Calculated values
Uncorrected energy = -70.93 eV/cell
DOS at the Fermi energy = 0.58 states/eV per atom
Formation energy without anion corrections = -0.986 eV per atom

abc: 7.0825 7.2089 8.2402
angles: 90.00 90.00 90.00
Closest atoms and distances in Å follow each position.
Space group I222 (No. 23)
Symmetry-distinct sites (fractional):
Ca 0.0000 0.0000 0.0000 [2 per cell]  4 Se 2.93
Ce 0.0000 0.0000 0.5000 [2 per cell]  4 Se 2.85
Ag 0.0000 0.5000 0.1737 [4 per cell]  4 Se 2.59-2.78, 1 Ag 2.86
Se 0.2392 0.2511 0.6704 [8 per cell]  2 Ag 2.59-2.78, 1 Ce 2.85

Record 3
A plane-wave DFT calculation with PBE-GGA was carried out for a relaxed structure of CaCeSiAg.

Calculated values
Uncorrected energy = -70.28 eV/cell
DOS at the Fermi energy = 2.00 states/eV per atom
Formation energy without anion corrections = -0.340 eV per atom

abc: 7.3029 7.3029 7.3029
angles: 90.00 90.00 90.00
Closest atoms and distances in Å follow each position.
Space group F-43m (No. 216)
Symmetry-distinct sites (fractional):
Ca 0.0000 0.0000 0.0000 [4 per cell]  4 Si 3.16, 4 Ag 3.16
Ce 0.0000 0.0000 0.5000 [4 per cell]  4 Ag 3.16, 4 Si 3.16
Si 0.2500 0.2500 0.7500 [4 per cell]  4 Ce 3.16, 4 Ca 3.16
Ag 0.2500 0.2500 0.2500 [4 per cell]  4 Ce 3.16, 4 Ca 3.16

Record 4
A plane-wave DFT calculation with PBE-GGA was carried out for a relaxed structure of Ca2CeAgTe4.

Calculated values
Uncorrected energy = -34.89 eV/cell
DOS at the Fermi energy = 1.00 states/eV per atom
Formation energy without anion corrections = -1.192 eV per atom

abc: 7.7212 4.5094 7.8182
angles: 90.00 109.85 90.00
Closest atoms and distances in Å follow each position.
Space group P2/m (No. 10)
Symmetry-distinct sites (fractional):
Ca 0.0000 0.0000 0.0000 [1 per cell]  6 Te 3.17-3.23
Ca 0.5000 0.5000 0.0000 [1 per cell]  6 Te 3.16-3.19
Ce 0.0000 0.5000 0.5000 [1 per cell]  6 Te 3.17-3.18
Ag 0.5000 0.0000 0.5000 [1 per cell]  6 Te 3.12-3.19
Te 0.2506 0.0000 0.7519 [2 per cell]  3 Ca 3.16-3.17, 2 Ce 3.18, 1 Ag 3.19
Te 0.2582 0.5000 0.2596 [2 per cell]  2 Ag 3.12, 1 Ce 3.17, 3 Ca 3.19-3.23

Record 5
A plane-wave DFT calculation with PBE-GGA was carried out for a relaxed structure of CaCeTlAg.

Calculated values
Uncorrected energy = -56.86 eV/cell
DOS at the Fermi energy = 2.09 states/eV per atom
Formation energy from the elements = -0.266 eV/atom

abc: 7.6170 7.6170 7.6170
angles: 90.00 90.00 90.00
Closest atoms and distances in Å follow each position.
Space group F-43m (No. 216)
Symmetry-distinct sites (fractional):
Ca 0.0000 0.0000 0.0000 [4 per cell]  4 Tl 3.30, 4 Ag 3.30
Ce 0.0000 0.0000 0.5000 [4 per cell]  4 Tl 3.30, 4 Ag 3.30
Tl 0.2500 0.2500 0.2500 [4 per cell]  4 Ce 3.30, 4 Ca 3.30
Ag 0.2500 0.2500 0.7500 [4 per cell]  4 Ce 3.30, 4 Ca 3.30

Record 6
A plane-wave DFT calculation with PBE-GGA was carried out for a relaxed structure of CaCe2Tl2Ag2.

Calculated values
Uncorrected energy = -76.10 eV/cell
DOS at the Fermi energy = 1.28 states/eV per atom
Formation energy from the elements = -0.152 eV/atom

abc: 4.8129 4.8129 27.4891
angles: 90.00 90.00 120.00
Closest atoms and distances in Å follow each position.
Space group R-3m (No. 166, hexagonal axes)
Symmetry-distinct sites (fractional):
Ca 0.0000 0.0000 0.0000 [3 per cell]  6 Tl 3.33
Ce 0.0000 0.0000 0.1444 [6 per cell]  3 Ag 3.03, 3 Ce 3.04, 1 Tl 3.36
Tl 0.0000 0.0000 0.2666 [6 per cell]  3 Ag 2.93
Ag 0.0000 0.0000 0.4340 [6 per cell]  3 Tl 2.93, 3 Ce 3.03